Ac4PrTh3P8 | PBE | optimized geometry

Calculated values
As for the formation energy: -1.513 eV/atom. The value obtained for the total energy is -6.935 eV per atom. The value obtained for the size of the total moment is 0.000 μB/atom.

Lattice parameters (Å, degrees): 8.6115 8.6115 8.6115 59.59 59.59 59.59
Sites, in units of the cell vectors:
Ac  0.0000  0.0000  0.0000
Ac  0.0000  0.5000  0.5000
Ac  0.5000  0.0000  0.5000
Ac  0.5000  0.5000  0.0000
Pr  0.5000  0.5000  0.5000
Th  0.0000  0.0000  0.5000
Th  0.0000  0.5000  0.0000
Th  0.5000  0.0000  0.0000
P  0.2395  0.7459  0.7459
P  0.2431  0.2431  0.2431
P  0.2541  0.2541  0.7605
P  0.2541  0.7605  0.2541
P  0.7459  0.2395  0.7459
P  0.7459  0.7459  0.2395
P  0.7569  0.7569  0.7569
P  0.7605  0.2541  0.2541

***

AcPr2ThP4 | PBE | optimized geometry

Calculated values
As for the formation energy: -1.518 eV/atom. The value obtained for the total energy is -6.858 eV per atom. The value obtained for the size of the total moment is 0.000 μB/atom.

Lattice parameters (Å, degrees): 7.3364 4.2442 7.3709 90.00 109.40 90.00
Sites, in units of the cell vectors:
Ac  0.0000  0.0000  0.0000
Pr  0.5000  0.0000  0.5000
Pr  0.5000  0.5000  0.0000
Th  0.0000  0.5000  0.5000
P  0.2479  0.0000  0.7399
P  0.2539  0.5000  0.2623
P  0.7461  0.5000  0.7377
P  0.7521  0.0000  0.2601

***

Ac2PrTmP4 | PBE | optimized geometry

Calculated values
As for the formation energy: -1.465 eV/atom. The value obtained for the total energy is -6.353 eV per atom. The value obtained for the size of the total moment is 0.000 μB/atom.

Lattice parameters (Å, degrees): 7.3805 4.2662 7.3961 90.00 109.41 90.00
Sites, in units of the cell vectors:
Ac  0.0000  0.0000  0.0000
Ac  0.5000  0.5000  0.0000
Pr  0.0000  0.5000  0.5000
Tm  0.5000  0.0000  0.5000
P  0.2512  0.0000  0.7327
P  0.2637  0.5000  0.2715
P  0.7363  0.5000  0.7285
P  0.7488  0.0000  0.2673

***

Ac2PrUP4 | PBE | optimized geometry

Calculated values
As for the formation energy: -1.268 eV/atom. The value obtained for the total energy is -7.008 eV per atom. The value obtained for the size of the total moment is 0.302 μB/atom.

Lattice parameters (Å, degrees): 7.3844 7.3783 6.0363 65.92 65.81 48.27
Sites, in units of the cell vectors:
Ac  0.0000  0.0000  0.0000
Ac  0.2500  0.2500  0.2500
Pr  0.7500  0.7500  0.7500
U  0.5000  0.5000  0.5000
P  0.2688  0.2688  0.7312
P  0.5052  0.5052  0.9948
P  0.7312  0.7312  0.2688
P  0.9948  0.9948  0.5052

***

AcPr2UP4 | PBE | optimized geometry

Calculated values
As for the formation energy: -1.294 eV/atom. The value obtained for the total energy is -7.119 eV per atom. The value obtained for the size of the total moment is 0.299 μB/atom.

Lattice parameters (Å, degrees): 7.2826 7.2826 7.2826 131.87 131.87 70.44
Sites, in units of the cell vectors:
Ac  0.0000  0.0000  0.0000
Pr  0.5000  0.5000  0.0000
Pr  0.7500  0.2500  0.5000
U  0.2500  0.7500  0.5000
P  0.0152  0.5152  0.5000
P  0.2548  0.2548  0.0000
P  0.4848  0.9848  0.5000
P  0.7452  0.7452  0.0000

***

Ac2PrYP4 | PBE | optimized geometry

Calculated values
As for the formation energy: -1.484 eV/atom. The value obtained for the total energy is -6.622 eV per atom. The value obtained for the size of the total moment is 0.000 μB/atom.

Lattice parameters (Å, degrees): 7.4075 4.2814 7.4242 90.00 109.41 90.00
Sites, in units of the cell vectors:
Ac  0.0000  0.0000  0.0000
Ac  0.5000  0.5000  0.0000
Pr  0.0000  0.5000  0.5000
Y  0.5000  0.0000  0.5000
P  0.2497  0.0000  0.7343
P  0.2609  0.5000  0.2686
P  0.7391  0.5000  0.7314
P  0.7503  0.0000  0.2657